(1)
NdAlTlTe3: relaxed, PBE.

a b c (Å): 4.592 15.072 11.958
angles (deg): 90.00 90.00 90.00
Space group Cmcm (No. 63)
One atom of each set of equivalent atoms:
Nd 0.000 0.000 0.000
Al 0.000 0.469 0.250
Tl 0.000 0.242 0.750
Te 0.000 0.071 0.250
Te 0.000 0.360 0.070

Raw total energy ... -4.09 eV per atom

(2)
NdThAl: relaxed, PBE.

a b c (Å): 7.248 7.248 7.248
angles (deg): 90.00 90.00 90.00
Space group F-43m (No. 216)
One atom of each set of equivalent atoms:
Nd 0.000 0.000 0.000
Th 0.000 0.000 0.500
Al 0.250 0.250 0.250

Relative energy among the computed polymorphs ... 0 meV/atom